HoEr2Mg3Al2Cd (PBE, relaxed); calculated total energy = -0.120 hartree per atom; space group = No. 38
1.0
4.520 0.000 0.000
0.000 6.389 3.686
0.000 -6.389 3.686
Al Er Mg Cd Ho
2 2 3 1 1
Cartesian
2.260 2.130 3.686
2.260 -2.130 3.686
0.000 3.651 2.107
0.000 -3.651 2.107
2.260 0.000 5.559
2.260 1.572 0.907
2.260 -1.572 0.907
0.000 0.000 7.372
0.000 0.000 3.160

---

CdSn (PBE, relaxed); calculated total energy = -0.076 hartree per atom; space group = No. 216
1.0
0.000 3.261 3.261
3.261 0.000 3.261
3.261 3.261 0.000
Cd Sn
1 1
Cartesian
0.000 0.000 0.000
1.630 1.630 1.630

---

Question: Look up the calculated total energy of the second one.
Answer: -0.076 hartree per atom

---

Question: Which formula does entry 2 have?
Answer: CdSn

---

Question: Look up the calculated total energy of the first one.
Answer: -0.120 hartree per atom